# 1
# PmYMg

PmYMg after structural relaxation (GGA-PBE, Alexandria).

Cell lengths 5.4068, 9.9780, 6.7562 Å; angles 90.00, 90.00, 90.00 degrees
With the nearest neighbours (Å) after each atom.
Element x y z (fractional)
1 Pm 0.7500 0.2119 0.5304  3 Mg 3.30-3.32, 2 Pm 3.46, 3 Y 3.64-3.67
2 Pm 0.2500 0.7119 0.9696  3 Mg 3.30-3.32, 2 Pm 3.46, 3 Y 3.64-3.67
3 Pm 0.7500 0.2881 0.0304  3 Mg 3.30-3.32, 2 Pm 3.46, 3 Y 3.64-3.67
4 Pm 0.2500 0.7881 0.4696  3 Mg 3.30-3.32, 2 Pm 3.46, 3 Y 3.64-3.67
5 Y 0.2500 0.0685 0.8222  5 Mg 3.27-3.52, 2 Pm 3.64
6 Y 0.7500 0.5685 0.6778  5 Mg 3.27-3.52, 2 Pm 3.64
7 Y 0.2500 0.4315 0.3222  5 Mg 3.27-3.52, 2 Pm 3.64
8 Y 0.7500 0.9315 0.1778  5 Mg 3.27-3.52, 2 Pm 3.64
9 Mg 0.2500 0.3988 0.8042  5 Y 3.27-3.52, 3 Pm 3.30-3.32
10 Mg 0.7500 0.6012 0.1958  5 Y 3.27-3.52, 3 Pm 3.30-3.32
11 Mg 0.2500 0.1012 0.3042  5 Y 3.27-3.52, 3 Pm 3.30-3.32
12 Mg 0.7500 0.8988 0.6958  5 Y 3.27-3.52, 3 Pm 3.30-3.32

Calculated values
- Energy relative to the elements: -2 kJ/mol of atoms
- Relative energy among the computed polymorphs: 2.9 kJ/mol of atoms
- Crystal system: orthorhombic
- Space group: Pnma (62)
- Total moment: 0.00 Bohr magnetons per cell



# 2
# Pm6Y12Mg

Pm6Y12Mg after structural relaxation (GGA-PBE, Alexandria).

Cell lengths 8.7260, 8.7260, 8.7260 Å; angles 97.39, 97.39, 97.39 degrees
With the nearest neighbours (Å) after each atom.
Element x y z (fractional)
1 Pm 0.5922 0.8650 0.8648  4 Y 3.36-3.53, 2 Pm 3.57, 1 Mg 3.60
2 Pm 0.8650 0.8648 0.5922  4 Y 3.36-3.53, 2 Pm 3.57, 1 Mg 3.60
3 Pm 0.1352 0.4078 0.1350  4 Y 3.36-3.53, 2 Pm 3.57, 1 Mg 3.60
4 Pm 0.1350 0.1352 0.4078  4 Y 3.36-3.53, 2 Pm 3.57, 1 Mg 3.60
5 Pm 0.8648 0.5922 0.8650  4 Y 3.36-3.53, 2 Pm 3.57, 1 Mg 3.60
6 Pm 0.4078 0.1350 0.1352  4 Y 3.36-3.53, 2 Pm 3.57, 1 Mg 3.60
7 Y 0.1669 0.5900 0.5900  7 Y 3.23-3.60
8 Y 0.5900 0.5900 0.1669  7 Y 3.23-3.60
9 Y 0.2619 0.7381 0.9999  4 Pm 3.36-3.53, 1 Mg 3.43, 6 Y 3.43-3.60
10 Y 0.2619 0.0001 0.7381  4 Pm 3.36-3.53, 1 Mg 3.43, 6 Y 3.43-3.60
11 Y 0.4100 0.4100 0.8331  7 Y 3.23-3.60
12 Y 0.9999 0.2619 0.7381  4 Pm 3.36-3.53, 1 Mg 3.43, 6 Y 3.43-3.60
13 Y 0.8331 0.4100 0.4100  7 Y 3.23-3.60
14 Y 0.4100 0.8331 0.4100  7 Y 3.23-3.60
15 Y 0.7381 0.9999 0.2619  4 Pm 3.36-3.53, 1 Mg 3.43, 6 Y 3.43-3.60
16 Y 0.0001 0.7381 0.2619  4 Pm 3.36-3.53, 1 Mg 3.43, 6 Y 3.43-3.60
17 Y 0.7381 0.2619 0.0001  4 Pm 3.36-3.53, 1 Mg 3.43, 6 Y 3.43-3.60
18 Y 0.5900 0.1669 0.5900  7 Y 3.23-3.60
19 Mg 0.0000 0.0000 0.0000  6 Y 3.43, 6 Pm 3.60

Calculated values
- Energy relative to the elements: 13 kJ/mol of atoms
- Relative energy among the computed polymorphs: 1.8 kJ/mol of atoms
- Crystal system: trigonal
- Space group: R-3m (166)
- Total moment: 0.00 Bohr magnetons per cell



# 3
# Pm5Y6Mg2

Pm5Y6Mg2 after structural relaxation (GGA-PBE, Alexandria).

Cell lengths 3.5850, 10.4940, 22.6493 Å; angles 90.00, 90.00, 90.00 degrees
With the nearest neighbours (Å) after each atom.
Element x y z (fractional)
1 Y 0.0000 0.9834 0.8865  1 Mg 3.44, 4 Y 3.58-3.79, 6 Pm 3.59-3.61
2 Y 0.0000 0.6466 0.1180  1 Mg 3.36, 6 Pm 3.57-3.69, 2 Y 3.58
3 Y 0.5000 0.3318 0.1349  2 Mg 3.37, 4 Pm 3.53-3.71, 4 Y 3.58-3.78
4 Y 0.5000 0.6682 0.8651  2 Mg 3.37, 4 Pm 3.53-3.71, 4 Y 3.58-3.78
5 Y 0.0000 0.8534 0.6180  1 Mg 3.36, 6 Pm 3.57-3.69, 2 Y 3.58
6 Y 0.0000 0.4834 0.6135  1 Mg 3.44, 4 Y 3.58-3.79, 6 Pm 3.59-3.61
7 Y 0.0000 0.1466 0.3820  1 Mg 3.36, 6 Pm 3.57-3.69, 2 Y 3.58
8 Y 0.0000 0.3534 0.8820  1 Mg 3.36, 6 Pm 3.57-3.69, 2 Y 3.58
9 Y 0.0000 0.5166 0.3865  1 Mg 3.44, 4 Y 3.58-3.79, 6 Pm 3.59-3.61
10 Y 0.0000 0.0166 0.1135  1 Mg 3.44, 4 Y 3.58-3.79, 6 Pm 3.59-3.61
11 Y 0.5000 0.1682 0.6349  2 Mg 3.37, 4 Pm 3.53-3.71, 4 Y 3.58-3.78
12 Y 0.5000 0.8318 0.3651  2 Mg 3.37, 4 Pm 3.53-3.71, 4 Y 3.58-3.78
13 Pm 0.5000 0.0807 0.2488  4 Mg 3.18-3.19
14 Pm 0.5000 0.5807 0.2512  4 Mg 3.18-3.19
15 Pm 0.5000 0.0000 0.5000  4 Pm 3.49-3.58, 6 Y 3.53-3.57
16 Pm 0.5000 0.4193 0.7488  4 Mg 3.18-3.19
17 Pm 0.5000 0.9193 0.7512  4 Mg 3.18-3.19
18 Pm 0.5000 0.8327 0.0046  4 Pm 3.49-3.58, 7 Y 3.59-3.69
19 Pm 0.5000 0.1673 0.9954  4 Pm 3.49-3.58, 7 Y 3.59-3.69
20 Pm 0.5000 0.6673 0.5046  4 Pm 3.49-3.58, 7 Y 3.59-3.69
21 Pm 0.5000 0.5000 0.0000  4 Pm 3.49-3.58, 6 Y 3.53-3.57
22 Pm 0.5000 0.3327 0.4954  4 Pm 3.49-3.58, 7 Y 3.59-3.69
23 Mg 0.0000 0.6688 0.7390  4 Pm 3.18-3.19, 4 Y 3.36-3.44
24 Mg 0.0000 0.8312 0.2390  4 Pm 3.18-3.19, 4 Y 3.36-3.44
25 Mg 0.0000 0.1688 0.7610  4 Pm 3.18-3.19, 4 Y 3.36-3.44
26 Mg 0.0000 0.3312 0.2610  4 Pm 3.18-3.19, 4 Y 3.36-3.44

Calculated values
- Energy relative to the elements: 12 kJ/mol of atoms
- Crystal system: orthorhombic
- Space group: Pbam (55)
- Total moment: 0.00 Bohr magnetons per cell



# 4
# Pm6Y12Mg

Pm6Y12Mg after structural relaxation (GGA-PBE, Alexandria).

Cell lengths 8.5709, 8.5709, 8.5709 Å; angles 88.76, 88.76, 88.76 degrees
With the nearest neighbours (Å) after each atom.
Element x y z (fractional)
1 Pm 0.2617 0.0941 0.7023  7 Y 3.37-3.69, 1 Mg 3.45, 2 Pm 3.49
2 Pm 0.7023 0.2617 0.0941  7 Y 3.37-3.69, 1 Mg 3.45, 2 Pm 3.49
3 Pm 0.2977 0.7383 0.9059  7 Y 3.37-3.69, 1 Mg 3.45, 2 Pm 3.49
4 Pm 0.9059 0.2977 0.7383  7 Y 3.37-3.69, 1 Mg 3.45, 2 Pm 3.49
5 Pm 0.0941 0.7023 0.2617  7 Y 3.37-3.69, 1 Mg 3.45, 2 Pm 3.49
6 Pm 0.7383 0.9059 0.2977  7 Y 3.37-3.69, 1 Mg 3.45, 2 Pm 3.49
7 Y 0.2198 0.4626 0.5629  6 Y 3.33-3.66, 3 Pm 3.37-3.44
8 Y 0.4371 0.7802 0.5374  6 Y 3.33-3.66, 3 Pm 3.37-3.44
9 Y 0.0153 0.1843 0.3628  4 Pm 3.46-3.69, 4 Y 3.49-3.66, 1 Mg 3.52
10 Y 0.3628 0.0153 0.1843  4 Pm 3.46-3.69, 4 Y 3.49-3.66, 1 Mg 3.52
11 Y 0.5374 0.4371 0.7802  6 Y 3.33-3.66, 3 Pm 3.37-3.44
12 Y 0.5629 0.2198 0.4626  6 Y 3.33-3.66, 3 Pm 3.37-3.44
13 Y 0.7802 0.5374 0.4371  6 Y 3.33-3.66, 3 Pm 3.37-3.44
14 Y 0.1843 0.3628 0.0153  4 Pm 3.46-3.69, 4 Y 3.49-3.66, 1 Mg 3.52
15 Y 0.8157 0.6372 0.9847  4 Pm 3.46-3.69, 4 Y 3.49-3.66, 1 Mg 3.52
16 Y 0.9847 0.8157 0.6372  4 Pm 3.46-3.69, 4 Y 3.49-3.66, 1 Mg 3.52
17 Y 0.4626 0.5629 0.2198  6 Y 3.33-3.66, 3 Pm 3.37-3.44
18 Y 0.6372 0.9847 0.8157  4 Pm 3.46-3.69, 4 Y 3.49-3.66, 1 Mg 3.52
19 Mg 0.0000 0.0000 0.0000  6 Pm 3.45, 6 Y 3.52

Calculated values
- Energy relative to the elements: 11 kJ/mol of atoms
- Relative energy among the computed polymorphs: 0.0 kJ/mol of atoms
- Crystal system: trigonal
- Space group: R-3 (148)
- Total moment: 0.00 Bohr magnetons per cell



# 5
# PmY2Mg8

PmY2Mg8 after structural relaxation (GGA-PBE, Alexandria).

Cell lengths 5.0695, 7.3114, 8.4146 Å; angles 107.29, 107.53, 90.00 degrees
With the nearest neighbours (Å) after each atom.
Element x y z (fractional)
1 Mg 0.8579 0.8456 0.7159  5 Mg 3.01-3.32, 2 Pm 3.36
2 Mg 0.5897 0.4686 0.1794  4 Mg 3.01-3.19, 1 Pm 3.28, 2 Y 3.28
3 Mg 0.9739 0.2825 0.9478  5 Mg 3.03-3.19, 1 Y 3.34, 2 Pm 3.38
4 Mg 0.3208 0.1031 0.6417  4 Mg 3.01-3.32, 1 Pm 3.19, 3 Y 3.27-3.35
5 Mg 0.0261 0.7175 0.0522  5 Mg 3.03-3.19, 1 Y 3.34, 2 Pm 3.38
6 Mg 0.1421 0.1544 0.2841  5 Mg 3.01-3.32, 2 Pm 3.36
7 Mg 0.4103 0.5314 0.8206  4 Mg 3.01-3.19, 1 Pm 3.28, 2 Y 3.28
8 Mg 0.6792 0.8969 0.3583  4 Mg 3.01-3.32, 1 Pm 3.19, 3 Y 3.27-3.35
9 Y 0.2203 0.6390 0.4406  10 Mg 3.27-3.39, 2 Y 3.56
10 Y 0.7797 0.3610 0.5594  10 Mg 3.27-3.39, 2 Y 3.56
11 Pm 0.5000 0.0000 0.0000  12 Mg 3.19-3.38

Calculated values
- Energy relative to the elements: -5 kJ/mol of atoms
- Crystal system: monoclinic
- Space group: C2/m (12)
- Total moment: 0.00 Bohr magnetons per cell



# 6
# Pm6Y3Mg

Pm6Y3Mg after structural relaxation (GGA-PBE, Alexandria).

Cell lengths 5.0993, 11.2942, 11.3976 Å; angles 90.69, 90.00, 90.00 degrees
With the nearest neighbours (Å) after each atom.
Element x y z (fractional)
1 Mg 0.7500 0.0472 0.4034  10 Pm 3.48-3.67, 2 Mg 3.54
2 Mg 0.2500 0.9528 0.5966  10 Pm 3.48-3.67, 2 Mg 3.54
3 Y 0.2500 0.5497 0.4004  8 Pm 3.58-3.62, 4 Y 3.58-3.60
4 Y 0.7500 0.4503 0.5996  8 Pm 3.58-3.62, 4 Y 3.58-3.60
5 Y 0.7500 0.2487 0.9956  10 Pm 3.58-3.62, 2 Y 3.61
6 Y 0.2500 0.7513 0.0044  10 Pm 3.58-3.62, 2 Y 3.61
7 Y 0.2500 0.3502 0.7959  8 Pm 3.58-3.65, 4 Y 3.58-3.61
8 Y 0.7500 0.6498 0.2041  8 Pm 3.58-3.65, 4 Y 3.58-3.61
9 Pm 0.2500 0.0479 0.8969  7 Pm 3.55-3.64, 1 Mg 3.57, 4 Y 3.58-3.62
10 Pm 0.7500 0.7542 0.5019  3 Mg 3.51-3.56, 5 Pm 3.57-3.60, 4 Y 3.58-3.62
11 Pm 0.2500 0.2458 0.4981  3 Mg 3.51-3.56, 5 Pm 3.57-3.60, 4 Y 3.58-3.62
12 Pm 0.7500 0.1481 0.6930  3 Mg 3.48-3.54, 5 Pm 3.57-3.64, 4 Y 3.59-3.62
13 Pm 0.2500 0.1499 0.1967  8 Pm 3.55-3.61, 2 Y 3.61, 2 Mg 3.67
14 Pm 0.7500 0.9521 0.1031  7 Pm 3.55-3.64, 1 Mg 3.57, 4 Y 3.58-3.62
15 Pm 0.2500 0.8519 0.3070  3 Mg 3.48-3.54, 5 Pm 3.57-3.64, 4 Y 3.59-3.62
16 Pm 0.7500 0.5520 0.8979  5 Pm 3.55-3.66, 7 Y 3.58-3.65
17 Pm 0.2500 0.6546 0.7003  6 Pm 3.56-3.60, 1 Mg 3.58, 5 Y 3.60-3.62
18 Pm 0.2500 0.4480 0.1021  5 Pm 3.55-3.66, 7 Y 3.58-3.65
19 Pm 0.7500 0.3454 0.2997  6 Pm 3.56-3.60, 1 Mg 3.58, 5 Y 3.60-3.62
20 Pm 0.7500 0.8501 0.8033  8 Pm 3.55-3.61, 2 Y 3.61, 2 Mg 3.67

Calculated values
- Energy relative to the elements: 1 kJ/mol of atoms
- Crystal system: monoclinic
- Space group: P2_1/m (11)
- Total moment: 0.00 Bohr magnetons per cell



# 7
# Pm5Y2Mg

Pm5Y2Mg after structural relaxation (GGA-PBE, Alexandria).

Cell lengths 3.7777, 8.8131, 9.0053 Å; angles 119.30, 90.00, 90.00 degrees
With the nearest neighbours (Å) after each atom.
Element x y z (fractional)
1 Pm 0.0000 0.5000 0.0000  2 Y 3.60, 10 Pm 3.64-3.78
2 Pm 0.4997 0.6617 0.7599  2 Mg 3.29, 4 Y 3.56-3.59, 2 Pm 3.64-3.65
3 Pm 0.5003 0.3383 0.2401  2 Mg 3.29, 4 Y 3.56-3.59, 2 Pm 3.64-3.65
4 Pm 0.4997 0.0982 0.7599  2 Mg 3.29, 4 Y 3.56-3.59, 2 Pm 3.64-3.65
5 Pm 0.5003 0.9018 0.2401  2 Mg 3.29, 4 Y 3.56-3.59, 2 Pm 3.64-3.65
6 Y 0.0002 0.7294 0.4588  9 Pm 3.56-3.60, 2 Y 3.78
7 Y 0.9998 0.2706 0.5412  9 Pm 3.56-3.60, 2 Y 3.78
8 Mg 0.0000 0.0000 0.0000  8 Pm 3.29

Calculated values
- Energy relative to the elements: 1 kJ/mol of atoms
- Crystal system: orthorhombic
- Space group: Cmmm (65)
- Total moment: 0.00 Bohr magnetons per cell



# 8
# Pm2Y6Mg

Pm2Y6Mg after structural relaxation (GGA-PBE, Alexandria).

Cell lengths 5.0791, 10.6295, 10.6305 Å; angles 90.00, 90.00, 90.00 degrees
With the nearest neighbours (Å) after each atom.
Element x y z (fractional)
1 Y 0.4999 0.5006 0.3326  1 Mg 3.54, 8 Y 3.55-3.58, 3 Pm 3.55-3.56
2 Y 0.4999 0.1675 0.9994  1 Mg 3.53, 8 Y 3.55-3.58, 3 Pm 3.55-3.56
3 Y 0.5001 0.8325 0.0006  1 Mg 3.53, 8 Y 3.55-3.58, 3 Pm 3.55-3.56
4 Y 0.9999 0.3325 0.4994  1 Mg 3.53, 8 Y 3.55-3.58, 3 Pm 3.55-3.56
5 Y 0.0002 0.6654 0.8346  4 Pm 3.53-3.58, 6 Y 3.55-3.57, 2 Mg 3.55
6 Y 0.9998 0.3346 0.1654  4 Pm 3.53-3.58, 6 Y 3.55-3.57, 2 Mg 3.55
7 Y 0.5001 0.4994 0.6674  1 Mg 3.54, 8 Y 3.55-3.58, 3 Pm 3.55-3.56
8 Y 0.0001 0.0006 0.1674  1 Mg 3.54, 8 Y 3.55-3.58, 3 Pm 3.55-3.56
9 Y 0.9999 0.9994 0.8326  1 Mg 3.54, 8 Y 3.55-3.58, 3 Pm 3.55-3.56
10 Y 0.4998 0.1654 0.6654  4 Pm 3.53-3.58, 6 Y 3.55-3.57, 2 Mg 3.55
11 Y 0.5002 0.8346 0.3346  4 Pm 3.53-3.58, 6 Y 3.55-3.57, 2 Mg 3.55
12 Y 0.0001 0.6675 0.5006  1 Mg 3.53, 8 Y 3.55-3.58, 3 Pm 3.55-3.56
13 Pm 0.5001 0.8335 0.6666  10 Y 3.53-3.58, 2 Mg 3.57
14 Pm 0.9999 0.3335 0.8334  10 Y 3.53-3.58, 2 Mg 3.57
15 Pm 0.4999 0.1665 0.3334  10 Y 3.53-3.58, 2 Mg 3.57
16 Pm 0.0001 0.6665 0.1666  10 Y 3.53-3.58, 2 Mg 3.57
17 Mg 0.5000 0.5000 0.0000  8 Y 3.53-3.55, 4 Pm 3.57
18 Mg 0.0000 0.0000 0.5000  8 Y 3.53-3.55, 4 Pm 3.57

Calculated values
- Energy relative to the elements: 2 kJ/mol of atoms
- Relative energy among the computed polymorphs: 0.0 kJ/mol of atoms
- Crystal system: tetragonal
- Space group: P4_2/mnm (136)
- Total moment: 0.00 Bohr magnetons per cell



# 9
# Pm4Y3Mg

Pm4Y3Mg after structural relaxation (GGA-PBE, Alexandria).

Cell lengths 3.6429, 3.6429, 19.5068 Å; angles 90.00, 90.00, 90.00 degrees
With the nearest neighbours (Å) after each atom.
Element x y z (fractional)
1 Pm 0.0000 0.0000 0.1119  4 Mg 3.38, 4 Y 3.60, 4 Pm 3.64
2 Pm 0.0000 0.0000 0.3709  8 Y 3.60-3.62, 4 Pm 3.64
3 Pm 0.0000 0.0000 0.8881  4 Mg 3.38, 4 Y 3.60, 4 Pm 3.64
4 Pm 0.0000 0.0000 0.6291  8 Y 3.60-3.62, 4 Pm 3.64
5 Mg 0.5000 0.5000 0.0000  8 Pm 3.38, 4 Mg 3.64
6 Y 0.5000 0.5000 0.2407  8 Pm 3.60-3.62, 4 Y 3.64
7 Y 0.5000 0.5000 0.5000  8 Pm 3.60, 4 Y 3.64
8 Y 0.5000 0.5000 0.7593  8 Pm 3.60-3.62, 4 Y 3.64

Calculated values
- Energy relative to the elements: -1 kJ/mol of atoms
- Crystal system: tetragonal
- Space group: P4/mmm (123)
- Total moment: 0.00 Bohr magnetons per cell



# 10
# Pm3Y3Mg

Pm3Y3Mg after structural relaxation (GGA-PBE, Alexandria).

Cell lengths 5.7268, 9.5264, 9.5272 Å; angles 120.03, 90.00, 90.00 degrees
With the nearest neighbours (Å) after each atom.
Element x y z (fractional)
1 Y 0.2500 0.5201 0.6239  4 Y 3.49-3.61, 3 Mg 3.50-3.67, 5 Pm 3.53-3.67
2 Y 0.7500 0.6241 0.1035  4 Y 3.49-3.61, 3 Mg 3.50-3.67, 5 Pm 3.53-3.67
3 Y 0.2500 0.3759 0.8965  4 Y 3.49-3.61, 3 Mg 3.50-3.67, 5 Pm 3.53-3.67
4 Y 0.7500 0.8968 0.5205  4 Y 3.49-3.60, 3 Mg 3.50-3.66, 5 Pm 3.53-3.67
5 Y 0.2500 0.1032 0.4795  4 Y 3.49-3.60, 3 Mg 3.50-3.66, 5 Pm 3.53-3.67
6 Y 0.7500 0.4799 0.3761  4 Y 3.49-3.61, 3 Mg 3.50-3.67, 5 Pm 3.53-3.67
7 Pm 0.7500 0.7547 0.8150  5 Y 3.53-3.67, 1 Mg 3.53, 6 Pm 3.55-3.65
8 Pm 0.2500 0.8151 0.0600  5 Y 3.53-3.67, 1 Mg 3.53, 6 Pm 3.55-3.65
9 Pm 0.2500 0.9395 0.7549  5 Y 3.53-3.67, 1 Mg 3.53, 6 Pm 3.55-3.65
10 Pm 0.2500 0.2453 0.1850  5 Y 3.53-3.67, 1 Mg 3.53, 6 Pm 3.55-3.65
11 Pm 0.7500 0.1849 0.9400  5 Y 3.53-3.67, 1 Mg 3.53, 6 Pm 3.55-3.65
12 Pm 0.7500 0.0605 0.2451  5 Y 3.53-3.67, 1 Mg 3.53, 6 Pm 3.55-3.65
13 Mg 0.7500 0.3332 0.6668  9 Y 3.50-3.67, 3 Pm 3.53
14 Mg 0.2500 0.6668 0.3332  9 Y 3.50-3.67, 3 Pm 3.53

Calculated values
- Energy relative to the elements: 2 kJ/mol of atoms
- Relative energy among the computed polymorphs: 0.0 kJ/mol of atoms
- Crystal system: hexagonal
- Space group: P6_3/m (176)
- Total moment: 0.19 Bohr magnetons per cell